A relaxed structure of BaNdI. Source: the Alexandria database, functional PBE-GGA.

Unit cell a=4.1310 b=4.1303 c=16.5356 alpha=90.00 beta=90.00 gamma=120.01
Closest atoms and distances in Å follow each position.
Positions (direct):
Nd  0.6114  0.2228  0.0000  6 I 3.26
Nd  0.2771  0.5542  0.5000  6 Ba 3.99-4.00, 6 Nd 4.13
Ba  0.6110  0.2220  0.3062  3 I 3.70-3.71, 3 Nd 3.99-4.00, 6 Ba 4.13
Ba  0.6110  0.2220  0.6938  3 I 3.70-3.71, 3 Nd 3.99-4.00, 6 Ba 4.13
I  0.2780  0.5560  0.8653  3 Nd 3.26
I  0.2780  0.5560  0.1347  3 Nd 3.26

Formation energy (no corrections), eV/atom: -0.624
Fermi-level density of states, states/eV/cell: 5.3
Space group: Amm2 (38)
Total DFT energy (no corrections), Ha/atom: -0.1239
ρ, g/cm³: 5.552
Magnetization, μB per formula unit: 0.04



A relaxed structure of BaNd2IO8. Source: the Alexandria database, functional PBE-GGA.

Unit cell a=5.3735 b=4.6447 c=7.2980 alpha=71.47 beta=90.29 gamma=90.55
Closest atoms and distances in Å follow each position.
Positions (direct):
Ba  0.0000  0.0000  0.5000  12 O 2.86-3.07
Nd  0.5020  0.3688  0.7848  2 O 2.29-2.31
Nd  0.4980  0.6312  0.2152  2 O 2.29-2.31
I  0.0000  0.0000  0.0000  6 O 1.90-1.92
O  0.0013  0.6605  0.2340  1 I 1.92
O  0.7396  0.8296  0.8893  1 I 1.90
O  0.7408  0.1635  0.1113  1 I 1.90
O  0.9987  0.3395  0.7660  1 I 1.92
O  0.2604  0.1704  0.1107  1 I 1.90
O  0.2592  0.8365  0.8887  1 I 1.90
O  0.4997  0.7565  0.4971  2 O 2.28-2.37, 2 Nd 2.29-2.31
O  0.5003  0.2435  0.5029  2 O 2.28-2.37, 2 Nd 2.29-2.31

Formation energy (no corrections), eV/atom: -1.999
Fermi-level density of states, states/eV/cell: 1.3
Space group: P-1 (2)
Total DFT energy (no corrections), Ha/atom: -0.2348
ρ, g/cm³: 6.545
Magnetization, μB per formula unit: 0.21